# 1
Compound: Tl2CuAgI4
Source: Alexandria via LeMat-Bulk
Functional: PBE-GGA
Structure: relaxed

Cell and atoms, written as extended XYZ:
```
8
Lattice="7.6256 0.0000 0.0000 3.8128 6.0002 0.0000 3.8128 0.0000 6.0002" Properties=species:S:1:pos:R:3 pbc="T T T"
Tl 3.8128 3.0001 3.0001
Tl 7.6256 3.0001 3.0001
Cu 3.8128 0.0000 0.0000
Ag 0.0000 0.0000 0.0000
I 2.0718 2.0265 0.0000
I 9.3666 0.0000 3.9737
I 5.5538 0.0000 2.0265
I 5.8846 3.9737 0.0000
```

Results
Formation energy from raw total energies: -0.39 eV per atom
Space-group type: I-42m, No. 121
Total magnetization: 0.003 Bohr magnetons per cell

# 2
Compound: Ba2SeBr
Source: Alexandria via LeMat-Bulk
Functional: PBE-GGA
Structure: relaxed

Cell and atoms, written as extended XYZ:
```
4
Lattice="-3.1977 1.9154 -2.8663 0.6121 -3.5319 -3.0431 -4.7922 -3.4502 3.0406" Properties=species:S:1:pos:R:3 pbc="T T T"
Se -5.4874 -3.8282 -0.2933
Ba -4.1922 -3.0182 2.6599
Ba -3.0907 -2.1027 -1.8139
Br -1.7958 -1.2929 1.1394
```

Results
Formation energy from raw total energies: -1.82 eV per atom
Space-group type: P4/mmm, No. 123
Total magnetization: 0.000 Bohr magnetons per cell

# 3
Compound: LiBe2PbF8
Source: Alexandria via LeMat-Bulk
Functional: PBE-GGA
Structure: relaxed

Cell and atoms, written as extended XYZ:
```
12
Lattice="-0.3292 -4.5116 2.0683 -1.2165 -3.5225 -3.2944 6.6316 -1.4873 -1.3716" Properties=species:S:1:pos:R:3 pbc="T T T"
Li 0.0000 0.0000 0.0000
Be 0.6080 -5.6280 -1.1386
Be 4.4780 -3.8933 -1.4590
Pb 3.3158 -0.7436 -0.6858
F 4.5063 -5.0392 -0.3424
F -0.6405 -6.4210 -1.0783
F 1.8908 -6.5204 -1.5155
F 3.1951 -3.0010 -1.0822
F 5.7265 -3.1004 -1.5193
F 4.0908 -4.5761 -2.8536
F 0.9951 -4.9453 0.2559
F 0.5796 -4.4821 -2.2553
```

Results
Formation energy from raw total energies: -2.75 eV per atom
Space-group type: C2/m, No. 12
Total magnetization: 0.492 Bohr magnetons per cell

# 4
Compound: KBe2Ru
Source: Alexandria via LeMat-Bulk
Functional: PBE-GGA
Structure: relaxed

Cell and atoms, written as extended XYZ:
```
4
Lattice="4.4257 0.0000 0.0000 2.2129 3.8328 0.0000 2.2129 1.2776 3.6136" Properties=species:S:1:pos:R:3 pbc="T T T"
Ru 6.6386 3.8328 2.7102
K 4.4257 2.5552 1.8068
Be 0.0000 0.0000 0.0000
Be 2.2129 1.2776 0.9034
```

Results
Energy of formation from the pure elements: 1353 meV/atom
Space-group type: F-43m, No. 216
Total magnetization: 0.000 Bohr magnetons per cell

# 5
Compound: Ba7Mg2Tl2
Source: Alexandria via LeMat-Bulk
Functional: PBE-GGA
Structure: relaxed

Cell and atoms, written as extended XYZ:
```
11
Lattice="-5.0472 2.4030 5.3437 1.3779 -8.0111 4.9036 7.0326 2.4703 2.0601" Properties=species:S:1:pos:R:3 pbc="T T T"
Ba 3.9064 -1.0338 2.4190
Ba -1.5358 -4.5405 6.1865
Ba -0.5431 -2.1039 9.8884
Ba 4.8991 1.4028 6.1209
Ba 0.0000 0.0000 0.0000
Ba 1.9393 -3.0657 7.0699
Ba 1.4240 -0.0720 5.2375
Mg -0.8394 2.4264 4.2000
Mg 4.2027 -5.5642 8.1075
Tl 2.3523 0.0773 8.6546
Tl 1.0110 -3.2150 3.6528
```

Results
Energy of formation from the pure elements: -4 meV/atom
Space-group type: Cmmm, No. 65
Total magnetization: 0.000 Bohr magnetons per cell

# 6
Compound: CeZrSb
Source: Alexandria via LeMat-Bulk
Functional: PBE-GGA
Structure: relaxed

Cell and atoms, written as extended XYZ:
```
6
Lattice="-0.7825 -4.7024 -0.0277 3.6151 -3.0135 -0.7583 2.3920 -2.8603 7.7866" Properties=species:S:1:pos:R:3 pbc="T T T"
Ce 3.4532 -7.8394 2.6634
Ce 1.7715 -2.7367 4.3371
Zr 4.0989 -7.9680 6.2530
Zr 1.1258 -2.6081 0.7476
Sb 2.2241 -5.2107 1.3418
Sb 3.0006 -5.3654 5.6588
```

Results
Formation energy from raw total energies: -0.34 eV per atom
Space-group type: R-3m, No. 166
Total magnetization: 1.867 Bohr magnetons per cell

# 7
Compound: Al2Fe8C
Source: Alexandria via LeMat-Bulk
Functional: PBE-GGA
Structure: relaxed

Cell and atoms, written as extended XYZ:
```
11
Lattice="-0.0117 3.3697 -1.0461 -3.3995 0.2693 0.9054 2.6864 2.8752 9.2314" Properties=species:S:1:pos:R:3 pbc="T T T"
Al 0.8387 0.8976 2.8819
Al 1.8478 1.9776 6.3495
Fe -0.3566 1.5723 5.0684
Fe 1.3374 3.1225 4.0926
Fe -0.8738 2.7098 2.7882
Fe 0.1489 3.8044 6.3025
Fe -1.3810 0.4758 1.5480
Fe 0.3129 2.0260 0.5722
Fe 0.6679 2.6688 8.5888
Fe 2.3618 4.2189 7.6131
C 0.0000 0.0000 0.0000
```

Results
Energy of formation from the pure elements: -14 meV/atom
Space-group type: P4/mmm, No. 123
Total magnetization: 16.832 Bohr magnetons per cell

# 8
Compound: Th2BiI2
Source: Alexandria via LeMat-Bulk
Functional: PBE-GGA
Structure: relaxed

Cell and atoms, written as extended XYZ:
```
5
Lattice="4.0813 0.0000 0.9510 1.9298 3.5962 0.9510 -0.8806 -0.5268 13.0117" Properties=species:S:1:pos:R:3 pbc="T T T"
Th 3.5371 2.1161 3.2866
Th 1.5935 0.9533 11.6272
Bi 0.0000 0.0000 0.0000
I 1.0343 0.6188 4.7942
I 4.0963 2.4506 10.1196
```

Results
Formation energy from raw total energies: -0.78 eV per atom
Space-group type: R-3m, No. 166
Total magnetization: 0.000 Bohr magnetons per cell

# 9
Compound: FeSiSe2
Source: Alexandria via LeMat-Bulk
Functional: PBE-GGA
Structure: relaxed

Cell and atoms, written as extended XYZ:
```
4
Lattice="1.9393 0.0000 8.0770 -0.9697 1.6795 8.0770 -0.9697 -1.6795 8.0770" Properties=species:S:1:pos:R:3 pbc="T T T"
Si 0.0000 0.0000 0.0000
Fe 0.0000 0.0000 12.1155
Se 0.0000 0.0000 21.5770
Se 0.0000 0.0000 2.6540
```

Results
Formation energy from raw total energies: 0.17 eV per atom
Space-group type: R-3m, No. 166
Total magnetization: 1.463 Bohr magnetons per cell

# 10
Compound: Ba2CaAsO
Source: Alexandria via LeMat-Bulk
Functional: PBE-GGA
Structure: relaxed

Cell and atoms, written as extended XYZ:
```
5
Lattice="-0.5555 -5.2241 -1.7176 2.2050 1.3699 -4.8797 4.2270 -0.9864 1.6331" Properties=species:S:1:pos:R:3 pbc="T T T"
As 2.9382 -2.4203 -2.4821
Ca 2.1135 -0.4932 0.8165
Ba 1.1025 0.6850 -2.4399
Ba -0.2778 -2.6121 -0.8588
O 0.0000 0.0000 0.0000
```

Results
Formation energy from raw total energies: -1.46 eV per atom
Space-group type: P4/mmm, No. 123
Total magnetization: 0.000 Bohr magnetons per cell

# 11
Compound: MnIrRh2
Source: Alexandria via LeMat-Bulk
Functional: PBE-GGA
Structure: relaxed

Cell and atoms, written as extended XYZ:
```
4
Lattice="-0.0769 2.5851 -1.0790 -4.0895 -0.8510 -1.7475 -1.9450 1.5307 3.8063" Properties=species:S:1:pos:R:3 pbc="T T T"
Ir -1.0109 2.0579 1.3636
Mn -3.0172 0.3399 1.0294
Rh 0.0000 0.0000 0.0000
Rh -2.0832 0.8671 -1.4132
```

Results
Energy of formation from the pure elements: 87 meV/atom
Space-group type: Pmmm, No. 47
Total magnetization: 4.100 Bohr magnetons per cell

# 12
Compound: Y4US7
Source: Alexandria via LeMat-Bulk
Functional: PBE-GGA
Structure: relaxed

Cell and atoms, written as extended XYZ:
```
12
Lattice="-4.3153 0.4666 5.1384 -3.4158 -3.2205 4.8170 6.8489 0.8504 9.4105" Properties=species:S:1:pos:R:3 pbc="T T T"
Y -4.1330 -1.7684 8.7194
Y 3.2285 -0.1404 10.6444
Y 3.0511 0.1693 6.5951
Y -0.8903 -1.9038 19.3464
U -3.9368 -2.0755 12.7916
S 1.1607 0.0715 2.4271
S -2.0412 -1.9735 16.9263
S -1.2617 -1.4844 13.4962
S 0.3983 -0.4136 5.8593
S -0.4260 -0.9495 9.6988
S -2.2941 -0.8973 3.8736
S 1.4101 -1.0073 15.5001
```

Results
Formation energy from raw total energies: -1.90 eV per atom
Space-group type: Cm, No. 8
Total magnetization: 3.146 Bohr magnetons per cell

# 13
Compound: Ca3Y
Source: Alexandria via LeMat-Bulk
Functional: PBE-GGA
Structure: relaxed

Cell and atoms, written as extended XYZ:
```
4
Lattice="-4.1860 -11.8590 -2.3961 -0.4887 -12.4680 -2.8651 -2.0058 -12.6304 0.5893" Properties=species:S:1:pos:R:3 pbc="T T T"
Y 0.0000 0.0000 0.0000
Ca -4.9909 -27.6104 -3.4903
Ca -3.3402 -18.4787 -2.3360
Ca -1.6896 -9.3470 -1.1816
```

Results
Energy of formation from the pure elements: 77 meV/atom
Space-group type: R-3m, No. 166
Total magnetization: 0.540 Bohr magnetons per cell

# 14
Compound: PaAlSi
Source: Alexandria via LeMat-Bulk
Functional: PBE-GGA
Structure: relaxed

Cell and atoms, written as extended XYZ:
```
6
Lattice="5.0214 0.0000 0.0000 0.0000 3.1438 0.0000 0.0000 1.5719 7.5379" Properties=species:S:1:pos:R:3 pbc="T T T"
Al 3.7660 3.1438 5.7463
Al 1.2553 1.5719 1.7916
Si 2.5107 0.0000 0.0000
Si 0.0000 0.0000 0.0000
Pa 3.7660 3.1438 2.7178
Pa 1.2553 1.5719 4.8201
```

Results
Formation energy from raw total energies: -0.01 eV per atom
Space-group type: Cmcm, No. 63
Total magnetization: 0.000 Bohr magnetons per cell

# 15
Compound: GaAgSn
Source: Alexandria via LeMat-Bulk
Functional: PBE-GGA
Structure: relaxed

Cell and atoms, written as extended XYZ:
```
6
Lattice="4.8775 -0.0353 0.0571 -2.2649 6.2730 0.0176 0.6792 2.0204 4.3825" Properties=species:S:1:pos:R:3 pbc="T T T"
Ga 0.6773 4.1174 0.5086
Ga 1.8098 0.9809 0.4998
Ag 2.8640 3.1309 1.8024
Ag 1.7315 6.2674 1.8112
Sn -0.7731 5.3828 3.1932
Sn 0.3594 2.2463 3.1844
```

Results
Energy of formation from the pure elements: 64 meV/atom
Space-group type: P1, No. 1
Total magnetization: 0.000 Bohr magnetons per cell

# 16
Compound: Sn4PbAu4
Source: Alexandria via LeMat-Bulk
Functional: PBE-GGA
Structure: relaxed

Cell and atoms, written as extended XYZ:
```
18
Lattice="-3.8446 3.3846 -5.4143 -6.1665 -3.6081 2.1231 -1.8410 6.1940 5.1793" Properties=species:S:1:pos:R:3 pbc="T T T"
Sn -5.5873 4.4300 4.3831
Sn -7.6680 6.2618 1.4528
Sn -6.8931 -0.3518 -0.4553
Sn -3.5557 1.6010 -1.6044
Sn -5.1994 -0.2711 3.5225
Sn -2.3703 1.3843 2.5485
Sn -2.1797 4.7493 1.7402
Sn -3.9436 6.3021 -0.7438
Pb 0.0000 0.0000 0.0000
Pb -5.9260 2.9853 0.9441
Au -7.9925 3.7847 2.9111
Au -4.8766 5.6078 1.8384
Au -6.3888 2.1294 -1.8545
Au -4.4462 0.4192 0.8813
Au -1.4799 2.5661 0.0628
Au -3.3818 4.2405 -2.6157
Au -2.8904 3.5715 4.2850
Au -5.9410 1.7865 5.3353
```

Results
Energy of formation from the pure elements: -96 meV/atom
Space-group type: P4_2/nmc, No. 137
Total magnetization: 0.000 Bohr magnetons per cell

# 17
Compound: Cr2SbAs
Source: Alexandria via LeMat-Bulk
Functional: PBE-GGA
Structure: relaxed

Cell and atoms, written as extended XYZ:
```
4
Lattice="-1.6446 0.3085 -2.8183 -0.2115 -3.1756 -0.2242 -6.1200 -1.4683 3.4107" Properties=species:S:1:pos:R:3 pbc="T T T"
As -5.5709 -3.3287 0.9807
Cr -5.8587 -1.6182 3.2418
Cr -3.4270 -2.1721 1.7621
Sb -2.4052 -1.0067 -0.6125
```

Results
Formation energy from raw total energies: 0.29 eV per atom
Space-group type: P2/m, No. 10
Total magnetization: 6.318 Bohr magnetons per cell

# 18
Compound: TbPmSc4
Source: Alexandria via LeMat-Bulk
Functional: PBE-GGA
Structure: relaxed

Cell and atoms, written as extended XYZ:
```
12
Lattice="-4.8236 -1.5492 -6.7808 2.6175 -3.4470 3.1464 -6.3661 1.8181 7.2858" Properties=species:S:1:pos:R:3 pbc="T T T"
Tb -3.1046 -1.8478 7.3826
Tb -5.4676 -1.3303 -3.7312
Pm -1.7843 -2.2826 1.2597
Pm -6.7879 -0.8955 2.3917
Sc -9.9157 -0.5398 0.8342
Sc -6.1921 -1.4817 5.8030
Sc -3.6978 -1.2442 3.9864
Sc -4.8744 -1.9339 -0.3350
Sc -1.1428 -2.8543 4.6473
Sc -2.3801 -1.6964 -2.1516
Sc -7.4294 -0.3238 -0.9959
Sc 1.3435 -2.6383 2.8172
```

Results
Energy of formation from the pure elements: 69 meV/atom
Space-group type: Cmcm, No. 63
Total magnetization: 0.001 Bohr magnetons per cell

# 19
Compound: Pu2BiTe
Source: Alexandria via LeMat-Bulk
Functional: PBE-GGA
Structure: relaxed

Cell and atoms, written as extended XYZ:
```
4
Lattice="4.4058 0.0000 0.0000 2.2029 3.8156 0.0000 2.2029 1.2719 7.7478" Properties=species:S:1:pos:R:3 pbc="T T T"
Pu 2.2029 1.2719 5.8237
Pu 2.2029 1.2719 1.9181
Bi 6.6088 3.8156 7.7026
Te 4.4058 2.5437 3.9251
```

Results
Formation energy from raw total energies: -0.64 eV per atom
Space-group type: R3m, No. 160
Total magnetization: 11.000 Bohr magnetons per cell

# 20
Compound: PIr2Pd2
Source: Alexandria via LeMat-Bulk
Functional: PBE-GGA
Structure: relaxed

Cell and atoms, written as extended XYZ:
```
5
Lattice="3.5689 0.0000 0.0000 0.0000 3.5689 0.0000 1.7844 1.7844 6.4656" Properties=species:S:1:pos:R:3 pbc="T T T"
P 0.0000 0.0000 0.0000
Ir 1.7844 1.7844 1.2114
Ir 3.5689 3.5689 5.2542
Pd 3.5689 1.7844 3.2328
Pd 1.7844 3.5689 3.2328
```

Results
Energy of formation from the pure elements: 635 meV/atom
Space-group type: I4/mmm, No. 139
Total magnetization: 0.000 Bohr magnetons per cell